Entry 1:
# Pr3Ho2Er2 (PBE, relaxed)
data_Pr3Ho2Er2
_cell_length_a 3.558
_cell_length_b 8.612
_cell_length_c 8.790
_cell_angle_alpha 62.21
_cell_angle_beta 89.99
_cell_angle_gamma 78.09
_space_group_name_H-M_alt 'P -1'
_space_group_IT_number 2
loop_
_space_group_symop_operation_xyz
'x,y,z'
'-x,-y,-z'
loop_
_atom_site_label
_atom_site_type_symbol
_atom_site_fract_x
_atom_site_fract_y
_atom_site_fract_z
_atom_site_occupancy
Pr1 Pr 0.000 0.000 0.000 1
Pr2 Pr 0.294 0.412 0.712 1
Ho1 Ho 0.071 0.859 0.432 1
Er1 Er 0.363 0.273 0.170 1
# formation energy	0.041	eV per atom


Entry 2:
# KHgBr (PBE, relaxed)
data_KHgBr
_cell_length_a 4.655
_cell_length_b 4.655
_cell_length_c 10.565
_cell_angle_alpha 90.00
_cell_angle_beta 90.00
_cell_angle_gamma 90.00
_space_group_name_H-M_alt 'P 4/n m m'
_space_group_IT_number 129
loop_
_space_group_symop_operation_xyz
'x,y,z'
'-x,-y,-z'
'-y+1/2,x,z'
'y+1/2,-x,-z'
'-x+1/2,-y+1/2,z'
'x+1/2,y+1/2,-z'
'y,-x+1/2,z'
'-y,x+1/2,-z'
'x+1/2,-y,-z'
'-x+1/2,y,z'
'-y,-x,-z'
'y,x,z'
'-x,y+1/2,-z'
'x,-y+1/2,z'
'y+1/2,x+1/2,-z'
'-y+1/2,-x+1/2,z'
loop_
_atom_site_label
_atom_site_type_symbol
_atom_site_fract_x
_atom_site_fract_y
_atom_site_fract_z
_atom_site_occupancy
K1 K 0.250 0.250 0.155 1
Hg1 Hg 0.250 0.250 0.505 1
Br1 Br 0.250 0.250 0.841 1
# ΔE_f (raw)	-106.0	kJ per mole of atoms


Entry 3:
# Pa6Ge5Te (PBE, relaxed)
data_Pa6Ge5Te
_cell_length_a 7.221
_cell_length_b 12.498
_cell_length_c 7.220
_cell_angle_alpha 90.00
_cell_angle_beta 109.49
_cell_angle_gamma 90.00
_space_group_name_H-M_alt 'C 1 2/m 1'
_space_group_IT_number 12
loop_
_space_group_symop_operation_xyz
'x,y,z'
'-x,-y,-z'
'-x,y,-z'
'x,-y,z'
'x+1/2,y+1/2,z'
'-x+1/2,-y+1/2,-z'
'-x+1/2,y+1/2,-z'
'x+1/2,-y+1/2,z'
loop_
_atom_site_label
_atom_site_type_symbol
_atom_site_fract_x
_atom_site_fract_y
_atom_site_fract_z
_atom_site_occupancy
Pa1 Pa 0.237 0.000 0.253 1
Pa2 Pa 0.239 0.173 0.739 1
Ge1 Ge 0.000 0.000 0.500 1
Ge2 Ge 0.000 0.169 0.000 1
Ge3 Ge 0.000 0.341 0.500 1
Te1 Te 0.000 0.500 0.000 1
# ΔE_f (raw)	-47.5	kJ per mole of atoms